Entry 1:
A PBEsol-optimized structure of Ba2MnFeSe, computed with meta-GGA SCAN.

Structure (POSCAR):
```
Ba2MnFeSe
1.0
-1.6086 -3.6751 0.6580
5.1813 -1.9442 1.8077
-1.3195 1.5539 5.4532
Mn Ba Se Fe
1 2 1 1
Direct
0.0000 0.0000 0.0000 Mn
0.0000 0.0000 0.5000 Ba
0.0000 0.5000 0.0000 Ba
0.5000 0.5000 0.5000 Se
0.5000 0.0000 0.0000 Fe
```

## Properties
**Raw formation energy**: 0.0455 eV per atom
**Space-group type**: P4/mmm (123)
**DOS at the Fermi energy**: 3.63 states/eV/f.u.

***

Entry 2:
A PBEsol-optimized structure of BaFeMo2, computed with meta-GGA SCAN.

Structure (POSCAR):
```
BaFeMo2
1.0
3.1930 0.0000 0.0000
0.0000 3.1930 0.0000
0.0000 0.0000 7.7938
Ba Fe Mo
1 1 2
Direct
0.0000 0.0000 0.5088 Ba
0.5000 0.5000 0.8325 Fe
0.0000 0.0000 0.9941 Mo
0.5000 0.5000 0.1646 Mo
```

## Properties
**ΔH_f (0 K)**: 722 meV/atom
**Space-group type**: P4mm (99)
**Relative energy among the computed polymorphs**: 0 meV per atom
**DOS at the Fermi energy**: 4.99 states/eV/f.u.

***

Entry 3:
A PBEsol-optimized structure of BaFeMo2, computed with meta-GGA SCAN.

Structure (POSCAR):
```
BaFeMo2
1.0
-0.1826 -2.8881 1.3516
3.7447 0.9826 2.6054
-2.7717 1.7336 3.3300
Ba Fe Mo
1 1 2
Direct
0.5000 0.5000 0.5000 Ba
0.5000 0.0000 0.0000 Fe
0.0000 0.0000 0.5000 Mo
0.0000 0.5000 0.0000 Mo
```

## Properties
**ΔH_f (0 K)**: 1639 meV/atom
**Space-group type**: P4/mmm (123)
**Relative energy among the computed polymorphs**: 916 meV per atom
**DOS at the Fermi energy**: 4.81 states/eV/f.u.

***

Number 1: total DFT energy (no corrections) -27.07 eV/atom. Number 2: total DFT energy (no corrections) -31.14 eV/atom. Number 3: total DFT energy (no corrections) -30.22 eV/atom.